# 1
# KTa2Se (PBEsol, relaxed)
data_KTa2Se
_symmetry_space_group_name_H-M 'P 1'
_symmetry_Int_Tables_number 1
_symmetry_space_group_name_Hall 'P 1'
_cell_length_a 3.051
_cell_length_b 6.120
_cell_length_c 10.310
_cell_angle_alpha 90.00
_cell_angle_beta 90.00
_cell_angle_gamma 90.00
loop_
_atom_site_label
_atom_site_type_symbol
_atom_site_fract_x
_atom_site_fract_y
_atom_site_fract_z
K1 K 0.000 0.000 0.000
K2 K 0.500 0.500 0.500
Ta1 Ta 0.000 0.000 0.532
Ta2 Ta 0.000 0.500 0.822
Ta3 Ta 0.500 0.000 0.322
Ta4 Ta 0.500 0.500 0.032
Se1 Se 0.000 0.500 0.232
Se2 Se 0.500 0.000 0.732
# - Spin magnetization: 0.8 μB/cell
# - SG: Imm2
# - Uncorrected formation energy: 3.1 eV/f.u.


# 2
# SrLaPb4 (PBEsol, relaxed)
data_SrLaPb4
_symmetry_space_group_name_H-M 'P 1'
_symmetry_Int_Tables_number 1
_symmetry_space_group_name_Hall 'P 1'
_cell_length_a 6.449
_cell_length_b 6.449
_cell_length_c 6.449
_cell_angle_alpha 60.00
_cell_angle_beta 60.00
_cell_angle_gamma 60.00
loop_
_atom_site_label
_atom_site_type_symbol
_atom_site_fract_x
_atom_site_fract_y
_atom_site_fract_z
Sr1 Sr 0.000 0.000 0.000
La1 La 0.750 0.750 0.750
Pb1 Pb 0.375 0.375 0.375
Pb2 Pb 0.375 0.375 0.874
Pb3 Pb 0.375 0.874 0.375
Pb4 Pb 0.874 0.375 0.375
# - Spin magnetization: 0.0 μB/cell
# - Energy relative to the elements: -342 meV per atom
# - SG: F-43m


# 3
# Li3Tl4 (PBEsol, relaxed)
data_Li3Tl4
_symmetry_space_group_name_H-M 'P 1'
_symmetry_Int_Tables_number 1
_symmetry_space_group_name_Hall 'P 1'
_cell_length_a 3.733
_cell_length_b 3.733
_cell_length_c 22.355
_cell_angle_alpha 90.00
_cell_angle_beta 90.00
_cell_angle_gamma 90.00
loop_
_atom_site_label
_atom_site_type_symbol
_atom_site_fract_x
_atom_site_fract_y
_atom_site_fract_z
Li1 Li 0.000 0.000 0.000
Li2 Li 0.000 0.000 0.286
Li3 Li 0.000 0.000 0.714
Li4 Li 0.500 0.500 0.214
Li5 Li 0.500 0.500 0.500
Li6 Li 0.500 0.500 0.786
Tl1 Tl 0.000 0.000 0.156
Tl2 Tl 0.000 0.000 0.428
Tl3 Tl 0.000 0.000 0.572
Tl4 Tl 0.000 0.000 0.844
Tl5 Tl 0.500 0.500 0.072
Tl6 Tl 0.500 0.500 0.344
Tl7 Tl 0.500 0.500 0.656
Tl8 Tl 0.500 0.500 0.928
# - Spin magnetization: 0.0 μB/cell
# - Energy relative to the elements: -175 meV per atom
# - SG: I4/mmm


# 4
# LiHgMo2 (PBEsol, relaxed)
data_LiHgMo2
_symmetry_space_group_name_H-M 'P 1'
_symmetry_Int_Tables_number 1
_symmetry_space_group_name_Hall 'P 1'
_cell_length_a 4.082
_cell_length_b 4.082
_cell_length_c 7.500
_cell_angle_alpha 90.00
_cell_angle_beta 90.00
_cell_angle_gamma 90.00
loop_
_atom_site_label
_atom_site_type_symbol
_atom_site_fract_x
_atom_site_fract_y
_atom_site_fract_z
Li1 Li 0.000 0.000 0.000
Li2 Li 0.500 0.500 0.500
Hg1 Hg 0.000 0.500 0.750
Hg2 Hg 0.500 0.000 0.250
Mo1 Mo 0.000 0.000 0.500
Mo2 Mo 0.000 0.500 0.250
Mo3 Mo 0.500 0.000 0.750
Mo4 Mo 0.500 0.500 0.000
# - Spin magnetization: 0.0 μB/cell
# - Energy relative to the elements: 469 meV per atom
# - SG: I-4m2